(1)
YAl2Ni2 | PBE | optimized geometry

space-group type = No. 127

a = 7.396 Å, b = 7.396 Å, c = 2.848 Å
α = 90.00°, β = 90.00°, γ = 90.00°
Atoms (fractional coordinates):
Y (0.000, 0.000, 0.000)
Y (0.500, 0.500, 0.000)
Al (0.146, 0.354, 0.500)
Al (0.354, 0.854, 0.500)
Al (0.646, 0.146, 0.500)
Al (0.854, 0.646, 0.500)
Ni (0.139, 0.639, 0.000)
Ni (0.361, 0.139, 0.000)
Ni (0.639, 0.861, 0.000)
Ni (0.861, 0.361, 0.000)


(2)
CaLa2Mg | PBE | optimized geometry

space-group type = No. 47

a = 3.967 Å, b = 5.761 Å, c = 6.015 Å
α = 90.00°, β = 90.00°, γ = 90.00°
Atoms (fractional coordinates):
Ca (0.000, 0.000, 0.000)
La (0.000, 0.500, 0.500)
La (0.500, 0.000, 0.500)
Mg (0.500, 0.500, 0.000)


(3)
Ac6Pt2Rh3Au | PBE | optimized geometry

space-group type = No. 12

a = 9.782 Å, b = 9.782 Å, c = 8.800 Å
α = 103.53°, β = 103.53°, γ = 25.64°
Atoms (fractional coordinates):
Ac (0.001, 0.001, 0.233)
Ac (0.326, 0.326, 0.418)
Ac (0.334, 0.334, 0.913)
Ac (0.666, 0.666, 0.087)
Ac (0.674, 0.674, 0.582)
Ac (0.999, 0.999, 0.767)
Pt (0.166, 0.166, 0.831)
Pt (0.834, 0.834, 0.169)
Rh (0.164, 0.164, 0.333)
Rh (0.500, 0.500, 0.000)
Rh (0.836, 0.836, 0.667)
Au (0.500, 0.500, 0.500)


no.,total magnetization (μB per cell),final energy (eV per atom)
1,0.00,-5.522
2,0.00,-3.310
3,0.00,-6.008